Entry 1:
{"formula": "ZnSb2S", "functional": "SCAN", "state": "PBEsol geometry", "magnetic_moment_mub_per_atom": 0.000, "dft_energy_ev_per_cell": -96.2, "crystal_system": "cubic", "formation_energy_uncorrected_ev_per_atom": 0.38, "lattice_angstrom": [[4.879, 0.000, 0.000], [2.440, 4.225, 0.000], [2.440, 1.408, 3.984]], "species": ["Sb", "Sb", "Zn", "S"], "frac_coords": [[0.250, 0.250, 0.250], [0.750, 0.750, 0.750], [0.500, 0.500, 0.500], [0.000, 0.000, 0.000]]}


Entry 2:
{"formula": "Mg2ZrW", "functional": "SCAN", "state": "PBEsol geometry", "formation_energy_ev_per_atom": 0.33, "magnetic_moment_mub_per_atom": 0.000, "dft_energy_ev_per_cell": -109.0, "crystal_system": "orthorhombic", "lattice_angstrom": [[-3.153, 0.179, -0.852], [-1.215, -0.635, 4.363], [2.266, 5.263, -1.000]], "species": ["Mg", "Mg", "W", "Zr"], "frac_coords": [[0.735, 0.735, 0.469], [0.265, 0.265, 0.531], [0.000, 0.500, 0.000], [0.500, 0.000, 0.000]]}


Entry 3:
{"formula": "FeCo3", "functional": "SCAN", "state": "PBEsol geometry", "formation_energy_ev_per_atom": -0.11, "magnetic_moment_mub_per_atom": 2.103, "dft_energy_ev_per_cell": -141.0, "crystal_system": "orthorhombic", "lattice_angstrom": [[2.798, 0.000, 0.000], [0.000, 3.913, 0.000], [-1.399, -1.957, 7.821]], "species": ["Co", "Co", "Co", "Co", "Co", "Co", "Fe", "Fe"], "frac_coords": [[0.938, 0.688, 0.877], [0.311, 0.561, 0.621], [0.689, 0.439, 0.379], [0.062, 0.312, 0.123], [0.813, 0.063, 0.627], [0.187, 0.937, 0.373], [0.436, 0.186, 0.872], [0.564, 0.814, 0.128]]}


Entry 4:
{"formula": "ScSi2Au", "functional": "SCAN", "state": "PBEsol geometry", "magnetic_moment_mub_per_atom": 0.000, "dft_energy_ev_per_cell": -104.3, "crystal_system": "orthorhombic", "formation_energy_uncorrected_ev_per_atom": -0.22, "lattice_angstrom": [[-0.407, 2.151, 2.589], [-2.682, 0.484, -2.016], [-3.166, -4.400, 3.158]], "species": ["Au", "Sc", "Si", "Si"], "frac_coords": [[0.500, 0.500, 0.500], [0.500, 0.500, 0.000], [0.000, 0.000, 0.276], [0.000, 0.000, 0.724]]}


Entry 5:
{"formula": "MnIn2Pb", "functional": "SCAN", "state": "PBEsol geometry", "formation_energy_ev_per_atom": 0.17, "magnetic_moment_mub_per_atom": 1.082, "dft_energy_ev_per_cell": -160.1, "crystal_system": "orthorhombic", "lattice_angstrom": [[-0.461, -1.257, -3.238], [2.653, -4.167, 1.240], [-4.379, -2.334, 1.529]], "species": ["In", "In", "Mn", "Pb"], "frac_coords": [[0.000, 0.000, 0.000], [0.500, 0.500, 0.000], [0.500, 0.000, 0.500], [0.000, 0.500, 0.500]]}


Entry 6:
{"formula": "BaAg2As", "functional": "SCAN", "state": "PBEsol geometry", "formation_energy_ev_per_atom": -0.14, "magnetic_moment_mub_per_atom": 0.000, "dft_energy_ev_per_cell": -123.0, "crystal_system": "orthorhombic", "lattice_angstrom": [[-2.887, -0.904, -1.485], [-0.495, -2.709, 2.612], [-3.642, 4.722, 4.208]], "species": ["As", "Ba", "Ag", "Ag"], "frac_coords": [[0.000, 0.000, 0.435], [0.500, 0.500, 0.740], [0.000, 0.000, 0.069], [0.500, 0.500, 0.256]]}